First-principles (PBE-GGA) data for crystalline SrAlRe2 at its relaxed geometry, as listed in Alexandria.

a = 4.6796 Å, b = 4.6796 Å, c = 4.6796 Å
α = 60.00°, β = 60.00°, γ = 60.00°
Last column: nearest neighbours and their distance in Å.
Positions (direct):
Sr 0.0000 0.0000 0.0000  4 Re 2.87, 4 Al 2.87
Al 0.7500 0.7500 0.7500  4 Re 2.87, 4 Sr 2.87
Re 0.2500 0.2500 0.2500  4 Re 2.87, 4 Sr 2.87
Re 0.5000 0.5000 0.5000  4 Re 2.87, 4 Al 2.87

Calculated values
- SG = F-43m (216)
- DFT total energy (eV per atom) = -6.836
- total magnetization (μB per cell) = 0.00



First-principles (PBE-GGA) data for crystalline SrAlRe2 at its relaxed geometry, as listed in Alexandria.

a = 5.8438 Å, b = 5.8438 Å, c = 5.8438 Å
α = 148.63°, β = 128.59°, γ = 61.47°
Last column: nearest neighbours and their distance in Å.
Positions (direct):
Sr 0.0000 0.0000 0.0000  8 Re 3.00-3.33, 2 Sr 3.16, 4 Al 3.27-3.35
Al 0.2940 0.7940 0.5000  6 Re 2.82-3.09, 2 Al 3.16
Re 0.5271 0.5271 0.0000  2 Re 2.46
Re 0.7144 0.2144 0.5000  2 Re 2.46

Calculated values
- SG = Imm2 (44)
- DFT total energy (eV per atom) = -6.887
- total magnetization (μB per cell) = 0.00



First-principles (PBE-GGA) data for crystalline SrAlRe2 at its relaxed geometry, as listed in Alexandria.

a = 4.0082 Å, b = 4.0082 Å, c = 4.6497 Å
α = 90.00°, β = 90.00°, γ = 90.00°
Last column: nearest neighbours and their distance in Å.
Positions (direct):
Sr 0.0000 0.0000 0.0000  4 Al 2.83, 8 Re 3.07
Al 0.5000 0.5000 0.0000  4 Sr 2.83, 8 Re 3.07
Re 0.0000 0.5000 0.5000  4 Re 2.83, 4 Al 3.07, 4 Sr 3.07
Re 0.5000 0.0000 0.5000  4 Re 2.83, 4 Al 3.07, 4 Sr 3.07

Calculated values
- SG = P4/mmm (123)
- DFT total energy (eV per atom) = -6.559
- total magnetization (μB per cell) = 0.00